No. 1
Material: PrY2Sb3
Method: DFT, PBE
State: relaxed

E_tot, eV per atom: -6.1832
SG: P-3m1
Crystal system: trigonal

a = 4.444 Å, b = 4.444 Å, c = 10.888 Å
α = 90.00°, β = 90.00°, γ = 120.00°
Sites, in units of the cell vectors:
Y 0.667 0.333 0.163
Sb 0.000 0.000 0.000
Sb 0.667 0.333 0.675
Sb 0.333 0.667 0.325
Pr 0.000 0.000 0.500
Y 0.333 0.667 0.837

No. 2
Material: Pr2YSb3
Method: DFT, PBE
State: relaxed

E_tot, eV per atom: -5.9116
SG: P-3m1
Crystal system: trigonal

a = 4.497 Å, b = 4.497 Å, c = 11.039 Å
α = 90.00°, β = 90.00°, γ = 120.00°
Sites, in units of the cell vectors:
Sb 0.667 0.333 0.658
Sb 0.333 0.667 0.342
Pr 0.667 0.333 0.171
Sb 0.000 0.000 0.000
Y 0.000 0.000 0.500
Pr 0.333 0.667 0.829

No. 3
Material: PrYZr2Sb2
Method: DFT, PBE
State: relaxed

E_tot, eV per atom: -6.9091
SG: I4mm
Crystal system: tetragonal

a = 9.013 Å, b = 9.013 Å, c = 9.013 Å
α = 152.22°, β = 152.22°, γ = 39.69°
Sites, in units of the cell vectors:
Y 0.675 0.675 0.000
Sb 0.130 0.130 0.000
Pr 0.321 0.321 0.000
Sb 0.871 0.871 0.000
Zr 0.001 0.501 0.500
Zr 0.501 0.001 0.500

No. 4
Material: Pr2ZnSb2
Method: DFT, PBE
State: relaxed

E_tot, eV per atom: -4.5844
SG: Cmc2_1
Crystal system: orthorhombic

a = 9.641 Å, b = 9.641 Å, c = 6.749 Å
α = 90.00°, β = 90.00°, γ = 153.01°
Sites, in units of the cell vectors:
Pr 0.206 0.794 0.984
Sb 0.832 0.168 0.987
Sb 0.168 0.832 0.487
Sb 0.410 0.590 0.509
Zn 0.597 0.403 0.592
Pr 0.994 0.006 0.771
Pr 0.006 0.994 0.271
Sb 0.590 0.410 0.009
Zn 0.403 0.597 0.092
Pr 0.794 0.206 0.484

No. 5
Material: PrZrSb
Method: DFT, PBE
State: relaxed

E_tot, eV per atom: -5.3781
SG: F-43m
Crystal system: cubic

a = 5.238 Å, b = 5.238 Å, c = 5.238 Å
α = 60.00°, β = 60.00°, γ = 60.00°
Sites, in units of the cell vectors:
Zr 0.750 0.750 0.750
Pr 0.000 0.000 0.000
Sb 0.250 0.250 0.250

No. 6
Material: PrZrSb
Method: DFT, PBE
State: relaxed

E_tot, eV per atom: -6.1332
SG: F-43m
Crystal system: cubic

a = 5.035 Å, b = 5.035 Å, c = 5.035 Å
α = 60.00°, β = 60.00°, γ = 60.00°
Each line ends with the local moment (μB).
Sites, in units of the cell vectors:
Zr 0.750 0.750 0.750  0.29
Sb 0.000 0.000 0.000  -0.01
Pr 0.250 0.250 0.250  0.07

No. 7
Material: PrSc
Method: DFT, PBE
State: relaxed

E_form, eV per atom: 1.737
SG: F-43m
E above lowest polymorph, meV per atom: 1623
Crystal system: cubic

a = 4.641 Å, b = 4.641 Å, c = 4.641 Å
α = 60.00°, β = 60.00°, γ = 60.00°
Sites, in units of the cell vectors:
Pr 0.000 0.000 0.000
Sc 0.250 0.250 0.250

No. 8
Material: PrSc2
Method: DFT, PBE
State: relaxed

E_form, eV per atom: 0.240
SG: P4/nmm
E above lowest polymorph, meV per atom: 184
Crystal system: tetragonal

a = 4.590 Å, b = 4.590 Å, c = 8.146 Å
α = 90.00°, β = 90.00°, γ = 90.00°
Sites, in units of the cell vectors:
Pr 0.000 0.500 0.321
Sc 0.000 0.500 0.724
Sc 0.500 0.000 0.276
Sc 0.500 0.500 0.000
Pr 0.500 0.000 0.679
Sc 0.000 0.000 0.000

No. 9
Material: PrSc2
Method: DFT, PBE
State: relaxed

E_form, eV per atom: 0.055
SG: C2/m
E above lowest polymorph, meV per atom: 0
Crystal system: monoclinic

a = 3.418 Å, b = 3.418 Å, c = 8.204 Å
α = 102.36°, β = 102.36°, γ = 60.53°
Sites, in units of the cell vectors:
Sc 0.777 0.777 0.345
Sc 0.223 0.223 0.655
Pr 0.000 0.000 0.000

No. 10
Material: PrSc
Method: DFT, PBE
State: relaxed

E_form, eV per atom: 0.114
SG: P-6m2
E above lowest polymorph, meV per atom: 0
Crystal system: hexagonal

a = 3.504 Å, b = 3.504 Å, c = 5.576 Å
α = 90.00°, β = 90.00°, γ = 120.00°
Sites, in units of the cell vectors:
Pr 0.667 0.333 0.750
Sc 0.333 0.667 0.250

No. 11
Material: PrSc
Method: DFT, PBE
State: relaxed

E_form, eV per atom: 0.678
SG: Fm-3m
E above lowest polymorph, meV per atom: 564
Crystal system: cubic

a = 4.434 Å, b = 4.434 Å, c = 4.434 Å
α = 60.00°, β = 60.00°, γ = 60.00°
Sites, in units of the cell vectors:
Pr 0.000 0.000 0.000
Sc 0.500 0.500 0.500

No. 12
Material: PrSc2
Method: DFT, PBE
State: relaxed

E_form, eV per atom: 2.560
SG: Fd-3m
E above lowest polymorph, meV per atom: 2505
Crystal system: cubic

a = 8.357 Å, b = 8.357 Å, c = 8.357 Å
α = 60.00°, β = 60.00°, γ = 60.00°
Sites, in units of the cell vectors:
Sc 0.375 0.375 0.375
Sc 0.375 0.375 0.875
Sc 0.375 0.875 0.375
Pr 0.500 0.500 0.500
Pr 0.250 0.250 0.250
Sc 0.875 0.375 0.375